DFT (GGA-PBE) results for an optimized crystal structure of Ac12Ir5Au2.

Summary:
- Fermi-level density of states: 14.6 states/eV/f.u.
- VASP energy: -110.471 eV per formula unit
- Total moment: 0.000 μB per atom

```
Ac12Ir5Au2
1.0
8.3018 0.0000 0.0000
-4.1509 7.7940 -2.4292
0.0000 0.0775 10.5492
Ac Ir Au
12 5 2
Cartesian
4.1509 1.0241 8.4013 Ac
-2.1026 5.8328 3.5226 Ac
0.0000 6.8474 -0.2812 Ac
-2.0112 4.8101 7.4029 Ac
2.0483 2.0387 4.5974 Ac
2.1397 3.0614 0.7171 Ac
6.2535 2.0387 4.5974 Ac
4.1509 6.5945 -0.0189 Ac
0.0000 1.2770 8.1389 Ac
2.1026 5.8328 3.5226 Ac
2.0112 4.8101 7.4029 Ac
6.1622 3.0614 0.7171 Ac
4.1509 3.8252 9.2429 Ir
0.0000 4.0463 -1.1228 Ir
4.1509 3.5770 3.0656 Ir
0.0000 4.2945 5.0544 Ir
0.0000 0.0388 5.2746 Ir
1.9112 0.0000 0.0000 Au
6.3906 0.0000 0.0000 Au
```